Entry 1:
This record from Alexandria describes a geometry-optimized Th6Si5S structure. The functional is GGA-PBE.

Its crystal system is triclinic. The value obtained for the final energy is -84.2 eV/cell. For the formation energy without anion corrections, the calculation gives -0.701 eV per atom. The calculation puts the mass density at 8.76 Mg/m³. The volume comes out at 296.5 Å³ per cell.

Lattice parameters (Å, degrees): 7.5543 7.8765 5.8634 61.33 92.75 78.97
With the nearest neighbours (Å) after each atom.
Atoms (fractional coordinates):
Si 0.5000 0.5000 0.0000  6 Th 2.95-3.27, 2 Si 3.05
Th 0.2255 0.9450 0.6623  1 S 2.81, 3 Si 2.99-3.02
Si 0.9759 0.3761 0.2217  1 Si 2.49
Th 0.7738 0.3967 0.6726  1 S 2.87, 5 Si 2.96-3.17
Th 0.2957 0.2093 0.0219  5 Si 2.95-3.10, 1 S 3.05
Th 0.7745 0.0550 0.3377  1 S 2.81, 3 Si 2.99-3.02
Th 0.7043 0.7907 0.9781  5 Si 2.95-3.10, 1 S 3.05
Si 0.0241 0.6239 0.7783  1 Si 2.49
Si 0.4866 0.2067 0.5732  6 Th 2.96-3.07, 1 Si 3.05
S 0.0000 0.0000 0.0000  6 Th 2.81-3.05
Th 0.2262 0.6033 0.3274  1 S 2.87, 5 Si 2.96-3.17
Si 0.5134 0.7933 0.4268  6 Th 2.96-3.07, 1 Si 3.05

Entry 2:
This record from Alexandria describes a geometry-optimized ThSi2S6 structure. The functional is GGA-PBE.

Its crystal system is monoclinic. The value obtained for the final energy is -103.4 eV/cell. For the formation energy without anion corrections, the calculation gives -0.965 eV per atom. The calculation puts the mass density at 3.74 Mg/m³. The volume comes out at 426.6 Å³ per cell.

Lattice parameters (Å, degrees): 6.5968 8.3928 8.3928 80.20 73.87 73.87
With the nearest neighbours (Å) after each atom.
Atoms (fractional coordinates):
S 0.0628 0.1309 0.5981  1 Si 2.09
S 0.5082 0.7169 0.5562  2 Si 2.17-2.21
Si 0.7302 0.3701 0.2285  4 S 2.09-2.21
Si 0.7698 0.7715 0.6299  4 S 2.09-2.21
S 0.6582 0.9388 0.8196  1 Si 2.14
S 0.0082 0.5562 0.7169  2 Si 2.17-2.21
Si 0.2302 0.2285 0.3701  4 S 2.09-2.21
Th 0.2500 0.1618 0.8382  6 S 2.72-3.03
S 0.4372 0.4019 0.8691  1 Si 2.09
S 0.1582 0.8196 0.9388  1 Si 2.14
S 0.4918 0.2831 0.4438  2 Si 2.17-2.21
S 0.5628 0.5981 0.1309  1 Si 2.09
S 0.9918 0.4438 0.2831  2 Si 2.17-2.21
Th 0.7500 0.8382 0.1618  6 S 2.72-3.03
S 0.8418 0.1804 0.0612  1 Si 2.14
Si 0.2698 0.6299 0.7715  4 S 2.09-2.21
S 0.3418 0.0612 0.1804  1 Si 2.14
S 0.9372 0.8691 0.4019  1 Si 2.09

Entry 3:
This record from Alexandria describes a geometry-optimized Th6SiS5 structure. The functional is GGA-PBE.

Its crystal system is monoclinic. The value obtained for the final energy is -90.6 eV/cell. For the formation energy without anion corrections, the calculation gives -1.668 eV per atom. The calculation puts the mass density at 9.07 Mg/m³. The volume comes out at 289.3 Å³ per cell.

Lattice parameters (Å, degrees): 7.0808 7.0808 7.0719 99.62 99.62 120.02
With the nearest neighbours (Å) after each atom.
Atoms (fractional coordinates):
S 0.1626 0.8374 0.5000  6 Th 2.86-2.91
Th 0.5807 0.9160 0.7482  5 S 2.88-2.91, 1 Si 2.91
Th 0.7473 0.7473 0.2495  5 S 2.86-2.89, 1 Si 2.90
S 0.3324 0.6676 0.0000  6 Th 2.88-2.89
Th 0.4193 0.0840 0.2518  5 S 2.88-2.91, 1 Si 2.91
S 0.6676 0.3324 0.0000  6 Th 2.88-2.89
Th 0.0840 0.4193 0.2518  5 S 2.88-2.91, 1 Si 2.91
S 0.5000 0.5000 0.5000  6 Th 2.88-2.89
Si 0.0000 0.0000 0.0000  6 Th 2.90-2.91
Th 0.9160 0.5807 0.7482  5 S 2.88-2.91, 1 Si 2.91
Th 0.2527 0.2527 0.7505  5 S 2.86-2.89, 1 Si 2.90
S 0.8374 0.1626 0.5000  6 Th 2.86-2.91

Entry 4:
This record from Alexandria describes a geometry-optimized Th5SiS5 structure. The functional is GGA-PBE.

Its crystal system is monoclinic. The value obtained for the final energy is -81.4 eV/cell. For the formation energy without anion corrections, the calculation gives -1.655 eV per atom. The calculation puts the mass density at 7.81 Mg/m³. The volume comes out at 286.8 Å³ per cell.

Lattice parameters (Å, degrees): 5.7565 7.0556 8.1396 106.56 90.00 114.08
With the nearest neighbours (Å) after each atom.
Atoms (fractional coordinates):
Th 0.5000 0.0000 0.0000  2 Si 2.88, 4 S 2.88-2.89
S 0.6655 0.3310 0.8296  5 Th 2.88-2.95
Th 0.1644 0.3289 0.8297  5 S 2.85-2.95, 1 Si 2.87
S 0.3365 0.6730 0.6631  5 Th 2.88-2.94
Th 0.1646 0.3293 0.3341  5 S 2.85-2.90, 1 Si 2.88
S 0.0000 0.0000 0.5000  4 Th 2.85
Th 0.8356 0.6711 0.1703  5 S 2.85-2.95, 1 Si 2.87
Th 0.8354 0.6707 0.6659  5 S 2.85-2.90, 1 Si 2.88
Si 0.0000 0.0000 0.0000  6 Th 2.87-2.88
S 0.3345 0.6690 0.1704  5 Th 2.88-2.95
S 0.6635 0.3270 0.3369  5 Th 2.88-2.94

Entry 5:
This record from Alexandria describes a geometry-optimized Th4Si3S structure. The functional is GGA-PBE.

Its crystal system is tetragonal. The value obtained for the final energy is -57.9 eV/cell. For the formation energy without anion corrections, the calculation gives -0.978 eV per atom. The calculation puts the mass density at 8.18 Mg/m³. The volume comes out at 212.1 Å³ per cell.

Lattice parameters (Å, degrees): 5.9592 5.9592 7.3100 114.05 114.05 90.00
With the nearest neighbours (Å) after each atom.
Atoms (fractional coordinates):
Th 0.7492 0.7492 0.4985  5 Si 2.98, 1 S 3.00
S 0.0000 0.0000 0.0000  6 Th 2.98-3.00
Si 0.5000 0.5000 0.0000  6 Th 2.98
Si 0.2500 0.7500 0.5000  6 Th 2.98-2.99
Si 0.7500 0.2500 0.5000  6 Th 2.98-2.99
Th 0.0000 0.5000 0.0000  4 Si 2.98-2.99, 2 S 2.98
Th 0.5000 0.0000 0.0000  2 S 2.98, 4 Si 2.98-2.99
Th 0.2508 0.2508 0.5015  5 Si 2.98, 1 S 3.00

Entry 6:
This record from Alexandria describes a geometry-optimized TmThSiS structure. The functional is GGA-PBE.

Its crystal system is trigonal. The value obtained for the final energy is -26.6 eV/cell. For the formation energy without anion corrections, the calculation gives -1.292 eV per atom. The calculation puts the mass density at 7.99 Mg/m³. The volume comes out at 95.9 Å³ per cell.

Lattice parameters (Å, degrees): 4.1142 4.1142 6.9571 72.80 72.80 60.00
With the nearest neighbours (Å) after each atom.
Atoms (fractional coordinates):
Si 0.4404 0.4404 0.6789  3 Tm 2.84, 3 Th 2.91
Tm 0.6947 0.6947 0.9160  3 Si 2.84, 3 S 2.84
S 0.9485 0.9485 0.1546  3 Tm 2.84, 3 Th 2.95
Th 0.1929 0.1929 0.4213  3 Si 2.91, 3 S 2.95

Entry 7:
This record from Alexandria describes a geometry-optimized Ti2SiS structure. The functional is GGA-PBE.

Its crystal system is cubic. For the offset from the most stable computed form, the calculation gives 0.3753 eV per atom. The value obtained for the final energy is -27.3 eV/cell. For the formation energy without anion corrections, the calculation gives -0.487 eV per atom. The calculation puts the mass density at 4.28 Mg/m³. The volume comes out at 60.5 Å³ per cell.

Lattice parameters (Å, degrees): 4.4059 4.4059 4.4059 60.00 60.00 60.00
With the nearest neighbours (Å) after each atom.
Atoms (fractional coordinates):
Ti 0.7500 0.7500 0.7500  4 S 2.70, 4 Si 2.70
Si 0.0000 0.0000 0.0000  8 Ti 2.70
Ti 0.2500 0.2500 0.2500  4 S 2.70, 4 Si 2.70
S 0.5000 0.5000 0.5000  8 Ti 2.70

Entry 8:
This record from Alexandria describes a geometry-optimized TiSi2S structure. The functional is GGA-PBE.

Its crystal system is tetragonal. The value obtained for the final energy is -44.9 eV/cell. For the formation energy without anion corrections, the calculation gives 0.100 eV per atom. The calculation puts the mass density at 3.60 Mg/m³. The volume comes out at 125.4 Å³ per cell.

Lattice parameters (Å, degrees): 7.0535 7.0535 5.5882 50.87 50.87 90.00
With the nearest neighbours (Å) after each atom.
Atoms (fractional coordinates):
Si 0.8750 0.8614 0.7500  2 S 2.51, 2 Si 2.53, 2 Ti 2.64
S 0.2500 0.7500 0.5000  4 Si 2.51, 2 Ti 2.52
Si 0.1386 0.6250 0.2500  2 S 2.51, 2 Si 2.53, 2 Ti 2.64
Si 0.6114 0.1250 0.2500  2 S 2.51, 2 Si 2.53, 2 Ti 2.64
Si 0.3750 0.3886 0.7500  2 S 2.51, 2 Si 2.53, 2 Ti 2.64
Ti 0.0000 0.0000 0.0000  2 S 2.52, 4 Si 2.64
Ti 0.7500 0.2500 0.5000  2 S 2.52, 4 Si 2.64
S 0.5000 0.5000 0.0000  4 Si 2.51, 2 Ti 2.52

Entry 9:
This record from Alexandria describes a geometry-optimized TiSi2S8 structure. The functional is GGA-PBE.

Its crystal system is monoclinic. The value obtained for the final energy is -56.9 eV/cell. For the formation energy without anion corrections, the calculation gives -0.470 eV per atom. The calculation puts the mass density at 1.94 Mg/m³. The volume comes out at 309.2 Å³ per cell.

Lattice parameters (Å, degrees): 5.7484 7.5867 7.5867 101.53 79.05 79.05
With the nearest neighbours (Å) after each atom.
Atoms (fractional coordinates):
S 0.3451 0.7726 0.7726  1 Si 2.12
S 0.6549 0.2274 0.2274  1 Si 2.12
S 0.8194 0.7370 0.0232  1 Si 2.10
S 0.8153 0.5427 0.5427  1 S 2.03, 1 Si 2.23
S 0.1806 0.9768 0.2630  1 Si 2.10
Ti 0.0000 0.0000 0.0000  6 S 2.44-2.47
S 0.1806 0.2630 0.9768  1 Si 2.10
Si 0.7057 0.7863 0.7863  4 S 2.10-2.23
S 0.8194 0.0232 0.7370  1 Si 2.10
S 0.1847 0.4573 0.4573  1 S 2.03, 1 Si 2.23
Si 0.2943 0.2137 0.2137  4 S 2.10-2.23

Entry 10:
This record from Alexandria describes a geometry-optimized Ti2SiS4 structure. The functional is GGA-PBE.

Its crystal system is monoclinic. The value obtained for the final energy is -44.5 eV/cell. For the formation energy without anion corrections, the calculation gives -0.968 eV per atom. The calculation puts the mass density at 3.34 Mg/m³. The volume comes out at 125.4 Å³ per cell.

Lattice parameters (Å, degrees): 3.3989 5.8852 7.1700 115.05 103.71 90.00
With the nearest neighbours (Å) after each atom.
Atoms (fractional coordinates):
S 0.1281 0.8047 0.2563  3 Ti 2.40-2.47, 1 Si 2.51
S 0.6330 0.2889 0.2660  3 Ti 2.45-2.55, 2 Si 2.54
Ti 0.2619 0.2507 0.5237  6 S 2.40-2.55
Si 0.0000 0.0000 0.0000  6 S 2.51-2.54
S 0.3670 0.7111 0.7340  3 Ti 2.45-2.55, 2 Si 2.54
S 0.8719 0.1953 0.7437  3 Ti 2.40-2.47, 1 Si 2.51
Ti 0.7381 0.7493 0.4763  6 S 2.40-2.55